Density functional theory data (PBE-GGA) for a geometry-optimized YEr3Fe structure.

```
YEr3Fe
1.0
8.778 0.000 0.000
0.000 3.594 0.000
-2.973 0.000 8.635
Y Er Fe
2 6 2
direct
0.139 0.250 0.437
0.861 0.750 0.563
0.164 0.750 0.125
0.213 0.250 0.825
0.490 0.750 0.698
0.510 0.250 0.302
0.787 0.750 0.175
0.836 0.250 0.875
0.442 0.750 0.033
0.558 0.250 0.967
```

Computed properties:
spin magnetization	2.96	Bohr magnetons per cell
formation enthalpy at 0 K	0.014	eV/atom
offset from the most stable computed form	0.0	kJ/mol of atoms
DOS(E_F)	13.0	states/eV/cell